# GGA-PBE HoSb2Rh, relaxed
# **Formation energy (no corrections)**: -4.49 kcal/mol of atoms
# **Space group**: No. 166
data_HoSb2Rh
_cell_length_a 9.963
_cell_length_b 9.963
_cell_length_c 9.963
_cell_angle_alpha 20.11
_cell_angle_beta 20.11
_cell_angle_gamma 20.11
_symmetry_space_group_name_H-M 'P 1'
_symmetry_Int_Tables_number 1
_symmetry_space_group_name_Hall 'P 1'
loop_
_atom_site_label
_atom_site_type_symbol
_atom_site_fract_x
_atom_site_fract_y
_atom_site_fract_z
_atom_site_occupancy
Ho1 Ho 0.000 0.000 0.000 1
Sb1 Sb 0.105 0.105 0.105 1
Sb2 Sb 0.895 0.895 0.895 1
Rh1 Rh 0.500 0.500 0.500 1

***

# GGA-PBE HoSb2Rh3, relaxed
# **Formation energy (no corrections)**: -16.11 kcal/mol of atoms
# **Space group**: No. 12
data_HoSb2Rh3
_cell_length_a 8.977
_cell_length_b 8.977
_cell_length_c 10.062
_cell_angle_alpha 106.86
_cell_angle_beta 106.86
_cell_angle_gamma 26.88
_symmetry_space_group_name_H-M 'P 1'
_symmetry_Int_Tables_number 1
_symmetry_space_group_name_Hall 'P 1'
loop_
_atom_site_label
_atom_site_type_symbol
_atom_site_fract_x
_atom_site_fract_y
_atom_site_fract_z
_atom_site_occupancy
Ho1 Ho 0.000 0.000 0.000 1
Ho2 Ho 0.164 0.164 0.712 1
Ho3 Ho 0.836 0.836 0.288 1
Sb1 Sb 0.189 0.189 0.125 1
Sb2 Sb 0.361 0.361 0.540 1
Sb3 Sb 0.457 0.457 0.218 1
Sb4 Sb 0.543 0.543 0.782 1
Sb5 Sb 0.639 0.639 0.460 1
Sb6 Sb 0.811 0.811 0.875 1
Rh1 Rh 0.041 0.041 0.326 1
Rh2 Rh 0.215 0.215 0.393 1
Rh3 Rh 0.316 0.316 0.044 1
Rh4 Rh 0.388 0.388 0.809 1
Rh5 Rh 0.500 0.500 0.500 1
Rh6 Rh 0.612 0.612 0.191 1
Rh7 Rh 0.684 0.684 0.956 1
Rh8 Rh 0.785 0.785 0.607 1
Rh9 Rh 0.959 0.959 0.674 1

***

# GGA-PBE HoSbRh, relaxed
# **Formation energy (no corrections)**: -21.06 kcal/mol of atoms
# **Space group**: No. 129
data_HoSbRh
_cell_length_a 4.327
_cell_length_b 4.327
_cell_length_c 7.001
_cell_angle_alpha 90.00
_cell_angle_beta 90.00
_cell_angle_gamma 90.00
_symmetry_space_group_name_H-M 'P 1'
_symmetry_Int_Tables_number 1
_symmetry_space_group_name_Hall 'P 1'
loop_
_atom_site_label
_atom_site_type_symbol
_atom_site_fract_x
_atom_site_fract_y
_atom_site_fract_z
_atom_site_occupancy
Ho1 Ho 0.250 0.250 0.197 1
Ho2 Ho 0.750 0.750 0.803 1
Sb1 Sb 0.250 0.250 0.745 1
Sb2 Sb 0.750 0.750 0.255 1
Rh1 Rh 0.250 0.750 0.500 1
Rh2 Rh 0.750 0.250 0.500 1

***

So what do the calculations give for size of the total moment? Going down the list: 0.0, 0.0, 0.0 μB/f.u..